[1]
This record from Alexandria via LeMat-Bulk describes crystalline YZrSe2Br at its relaxed geometry. The functional is PBE.

Structure (POSCAR):
```
YZrSe2Br
1.0
5.461 0.000 0.000
0.000 5.461 0.000
0.000 0.000 5.295
Y Se Br Zr
1 2 1 1
Direct
0.000 0.000 0.000
0.000 0.500 0.000
0.500 0.000 0.000
0.000 0.000 0.500
0.500 0.500 0.500
```

Output
* symmetry: P4/mmm, No. 123
* energy relative to the lowest polymorph listed for this composition: 30.8 kJ/mol of atoms
* uncorrected formation energy: -454 meV per atom
* ρ: 4.395 g cm⁻³

***

[2]
This record from Alexandria via LeMat-Bulk describes crystalline ZrVOs at its relaxed geometry. The functional is PBE.

Structure (POSCAR):
```
ZrVOs
1.0
-1.827 1.057 -2.044
-3.006 -2.988 1.143
0.059 3.921 1.974
Os Zr V
1 1 1
Direct
0.979 0.000 0.000
0.333 0.667 0.333
0.688 0.333 0.667
```

Output
* symmetry: P3m1, No. 156
* energy relative to the lowest polymorph listed for this composition: 30.3 kJ/mol of atoms
* ρ: 11.256 g cm⁻³

***

[3]
This record from Alexandria via LeMat-Bulk describes crystalline SrRuRh3 at its relaxed geometry. The functional is PBE.

Structure (POSCAR):
```
SrRuRh3
1.0
-4.655 -0.691 -0.772
-0.480 -1.711 4.426
-0.918 4.398 1.600
Ru Rh Sr
1 3 1
Direct
0.000 0.000 0.000
0.000 0.500 0.000
0.000 0.000 0.500
0.500 0.000 0.000
0.500 0.500 0.500
```

Output
* symmetry: Pm-3m, No. 221
* energy relative to the lowest polymorph listed for this composition: 0.0 kJ/mol of atoms
* ρ: 7.613 g cm⁻³

***

Copy entry 2 word for word.
This record from Alexandria via LeMat-Bulk describes crystalline ZrVOs at its relaxed geometry. The functional is PBE.

Structure (POSCAR):
```
ZrVOs
1.0
-1.827 1.057 -2.044
-3.006 -2.988 1.143
0.059 3.921 1.974
Os Zr V
1 1 1
Direct
0.979 0.000 0.000
0.333 0.667 0.333
0.688 0.333 0.667
```

Output
* symmetry: P3m1, No. 156
* energy relative to the lowest polymorph listed for this composition: 30.3 kJ/mol of atoms
* ρ: 11.256 g cm⁻³

***

Among the records above, which one has the highest ρ?
ZrVOs